Here is an optimized crystal structure of Y2Ge4PdPt3 from Alexandria via LeMat-Bulk. Energies are from PBE.

Cell: 4.2901 4.2901 10.2377 Å, 90.00 90.00 90.00°
Atoms (fractional coordinates):
Y 0.0000 0.5000 0.2466
Y 0.5000 0.0000 0.7534
Ge 0.0000 0.0000 0.5000
Ge 0.0000 0.5000 0.8685
Ge 0.5000 0.0000 0.1315
Ge 0.5000 0.5000 0.5000
Pd 0.5000 0.5000 0.0000
Pt 0.0000 0.0000 0.0000
Pt 0.0000 0.5000 0.6307
Pt 0.5000 0.0000 0.3693

Values from the calculation:
VASP energy   -6.348 eV per atom
Crystal system   tetragonal
SG   P-4m2, No. 115


Here is an optimized crystal structure of Y2Ge4Pd3Pt from Alexandria via LeMat-Bulk. Energies are from PBE.

Cell: 4.2717 4.2717 10.2875 Å, 90.00 90.00 90.00°
Atoms (fractional coordinates):
Y 0.0000 0.5000 0.2475
Y 0.5000 0.0000 0.7525
Ge 0.0000 0.0000 0.5000
Ge 0.0000 0.5000 0.8680
Ge 0.5000 0.0000 0.1320
Ge 0.5000 0.5000 0.5000
Pd 0.0000 0.0000 0.0000
Pd 0.0000 0.5000 0.6328
Pd 0.5000 0.0000 0.3672
Pt 0.5000 0.5000 0.0000

Values from the calculation:
VASP energy   -6.099 eV per atom
Crystal system   tetragonal
SG   P-4m2, No. 115


Values of formation energy, in order: -0.876; -0.797, all in eV/atom.